The following is a DFT calculation (PBE+U) of DyAgW2O8 after structural relaxation.

Computed properties:
**E**: -7.259 eV per atom

Cell and atoms, written as CIF:
```
data_DyAgW2O8
_chemical_formula_sum 'Dy4 Ag4 W8 O32'
_cell_length_a 10.066
_cell_length_b 10.885
_cell_length_c 7.310
_cell_angle_alpha 90.00
_cell_angle_beta 127.12
_cell_angle_gamma 90.00
_space_group_name_H-M_alt 'C 1 2/m 1'
_space_group_IT_number 12
loop_
_space_group_symop_operation_xyz
'x,y,z'
'-x,-y,-z'
'-x,y,-z'
'x,-y,z'
'x+1/2,y+1/2,z'
'-x+1/2,-y+1/2,-z'
'-x+1/2,y+1/2,-z'
'x+1/2,-y+1/2,z'
loop_
_atom_site_label
_atom_site_type_symbol
_atom_site_fract_x
_atom_site_fract_y
_atom_site_fract_z
_atom_site_occupancy
Dy1 Dy 0.000 0.199 0.000 1
Ag1 Ag 0.185 0.000 0.518 1
W1 W 0.000 0.337 0.500 1
W2 W 0.212 0.500 0.972 1
O1 O 0.021 0.500 0.341 1
O2 O 0.048 0.236 0.350 1
O3 O 0.054 0.000 0.861 1
O4 O 0.171 0.371 0.089 1
O5 O 0.228 0.375 0.760 1
```